# SCAN In3Te4, single point on PBEsol structure
data_In3Te4
_symmetry_space_group_name_H-M 'P 1'
_symmetry_Int_Tables_number 1
_symmetry_space_group_name_Hall 'P 1'
_cell_length_a 4.2562
_cell_length_b 4.2562
_cell_length_c 13.5743
_cell_angle_alpha 80.98
_cell_angle_beta 80.98
_cell_angle_gamma 60.00
loop_
_atom_site_label
_atom_site_type_symbol
_atom_site_fract_x
_atom_site_fract_y
_atom_site_fract_z
In1 In 0.0000 0.0000 0.0000
Te1 Te 0.7103 0.7103 0.8690
Te2 Te 0.8690 0.8690 0.3929
In2 In 0.4274 0.4274 0.7179
Te3 Te 0.1310 0.1310 0.6071
Te4 Te 0.2897 0.2897 0.1310
In3 In 0.5726 0.5726 0.2821
# - energy relative to the elements, uncorrected (meV/atom) = -295
# - Fermi-level density of states (states/eV/f.u.) = 1.2
# - crystal system = trigonal
# - volume (A^3/atom) = 29.92
# - space group = No. 166